Compound: Li2Zn12Cu
Source: Alexandria via LeMat-Bulk
Functional: PBE
Structure: optimized geometry

Cell and atoms, written as extended XYZ:
```
30
Lattice="-0.915 -0.075 -5.133 4.037 -3.232 -0.672 -11.119 -14.345 2.192" Properties=species:S:1:pos:R:3 pbc="T T T"
Zn -2.856 -8.468 -3.739
Zn -5.846 -11.210 -1.443
Zn -2.227 -2.873 0.439
Zn -7.331 -13.125 -1.150
Zn -1.792 -8.917 -1.273
Zn 1.269 -3.862 -4.144
Zn 1.728 -3.826 -1.577
Zn -9.268 -13.789 0.529
Zn -0.291 -2.210 -1.240
Zn -2.151 -6.442 -2.171
Zn -8.892 -11.471 1.753
Zn -0.666 -4.527 -2.464
Zn -0.749 -2.246 -3.806
Zn -3.673 -7.289 -0.165
Zn -5.886 -8.709 -0.546
Zn -9.724 -13.827 -2.038
Zn -5.736 -9.232 -3.214
Zn -7.407 -9.556 1.460
Zn -4.737 -6.841 -2.630
Zn -3.730 -10.314 -0.111
Zn -7.249 -15.405 0.194
Zn -7.706 -15.443 -2.373
Zn -3.580 -10.837 -2.778
Zn -3.712 -4.789 0.732
Cu -0.458 -0.038 -2.567
Cu 2.019 -1.616 -0.336
Li -0.901 -5.383 0.239
Li -6.181 -12.194 1.280
Li -8.657 -10.615 -0.951
Li -3.378 -3.805 -1.991
```

Summary:
mass density: 5.76 Mg/m³
DOS(E_F): 0.33 states/eV/atom
total moment: 0.00 μB per formula unit
calculated formation energy: 14 meV per atom
SG: P4/nbm